PBE ZrAgP, relaxed; formation energy from the elements = -1.08 eV/f.u.; E_tot = -5.96 eV per atom; space-group type = No. 187
1.0
0.6515 4.1001 0.3128
-3.8523 -1.4548 -0.6133
-0.4887 -0.1911 3.5230
P Zr Ag
1 1 1
Cartesian
-2.4326 0.3649 0.2836
-1.1756 2.1210 2.3527
-0.0813 -0.0318 0.5862

=====

PBE Pa3Ag, relaxed; formation energy from the elements = 0.19 eV/f.u.; E_tot = -7.79 eV per atom; space-group type = No. 123; offset from the most stable computed form = 0.0 kJ/mol of atoms
1.0
3.2024 0.0000 0.0000
0.0000 5.4254 0.0000
0.0000 0.0000 5.4253
Ag Pa
1 3
Cartesian
0.0000 2.7127 2.2612
1.6012 2.7127 4.9738
1.6012 0.0000 2.2599
0.0000 0.0000 4.9726

=====

PBE Pa5Ag, relaxed; formation energy from the elements = 0.37 eV/f.u.; E_tot = -8.33 eV per atom; space-group type = No. 65; offset from the most stable computed form = 0.0 kJ/mol of atoms
1.0
-2.6106 1.2705 -1.3587
-1.5164 -4.9719 -1.7354
-3.4198 1.3342 7.8182
Pa Ag
5 1
Cartesian
-2.7094 0.2482 1.6565
-2.0635 -1.8507 -1.5471
-2.8201 -0.7774 4.6915
-4.8374 -2.6154 3.0677
-2.1161 -2.8603 1.3914
0.0000 0.0000 0.0000

=====

PBE Pa5Ag, relaxed; formation energy from the elements = 0.95 eV/f.u.; E_tot = -8.23 eV per atom; space-group type = No. 65; offset from the most stable computed form = 9.4 kJ/mol of atoms
1.0
4.3680 0.0000 0.0000
0.0000 4.8123 0.0000
0.0000 -2.4062 6.8430
Pa Ag
5 1
Cartesian
2.1840 2.4062 4.6090
0.0000 0.0000 4.5917
0.0000 2.4062 2.2513
2.1840 0.0000 2.2340
2.1840 2.4062 0.0000
0.0000 0.0000 0.0000

=====

PBE PaAg2, relaxed; formation energy from the elements = 0.80 eV/f.u.; E_tot = -4.80 eV per atom; space-group type = No. 227
1.0
5.6407 0.0000 0.0000
2.8203 4.8850 0.0000
2.8203 1.6283 4.6056
Ag Pa
4 2
Cartesian
5.6407 1.6283 2.8785
7.0509 4.0708 2.8785
5.6407 3.2567 0.5757
4.2305 4.0708 2.8785
2.8203 1.6283 1.1514
0.0000 0.0000 0.0000

=====

PBE Pa3Ag, relaxed; formation energy from the elements = 1.04 eV/f.u.; E_tot = -7.58 eV per atom; space-group type = No. 221; offset from the most stable computed form = 20.3 kJ/mol of atoms
1.0
-2.4241 -3.7470 -0.9943
3.8503 -2.4634 -0.1037
-0.4507 -0.8923 4.4615
Pa Ag
3 1
Cartesian
0.7131 -3.1052 -0.5490
1.6998 -1.6779 2.1789
-1.4374 -2.3196 1.7336
0.0000 0.0000 0.0000